First-principles (PBE-GGA) data for Pb3C2 after structural relaxation, as listed in Alexandria.

Energy above the lowest structure with this stoichiometry ... 0.58 eV per formula unit
Calculated formation energy ... 1.457 eV per atom
Density ... 9.85 g cm⁻³
Total moment ... 0.0 μB/cell

Cell: 8.116 6.757 6.488 Å, 75.55 53.73 50.73°
Sites, in units of the cell vectors:
Pb: 0.738 0.613 0.339
Pb: 0.310 0.339 0.613
Pb: 0.637 0.512 0.940
Pb: 0.911 0.940 0.512
Pb: 0.136 0.864 0.864
Pb: 0.386 0.114 0.114
C: 0.330 0.810 0.373
C: 0.487 0.373 0.810
C: 0.440 0.920 0.763
C: 0.877 0.763 0.920

First-principles (PBE-GGA) data for InPtCl2 after structural relaxation, as listed in Alexandria.

Energy above the lowest structure with this stoichiometry ... 1.82 eV per formula unit
Formation energy without anion corrections ... 0.019 eV per atom
Density ... 6.59 g cm⁻³
Total moment ... 1.0 μB/cell

Cell: 6.649 6.649 6.649 Å, 37.11 37.11 37.11°
Last column: magnetic moment on the atom in μB.
Sites, in units of the cell vectors:
Cl: 0.023 0.023 0.023  0.12
Cl: 0.477 0.477 0.477  0.12
Pt: 0.750 0.750 0.750  0.68
In: 0.250 0.250 0.250  0.03

First-principles (PBE-GGA) data for PaMnS4 after structural relaxation, as listed in Alexandria.

Energy above the lowest structure with this stoichiometry ... 0.06 eV per formula unit
Formation energy without anion corrections ... -1.005 eV per atom
Density ... 5.37 g cm⁻³
Total moment ... 8.0 μB/cell

Cell: 6.542 6.309 6.449 Å, 90.00 105.80 90.00°
Last column: magnetic moment on the atom in μB.
Sites, in units of the cell vectors:
Pa: 0.000 0.000 0.000  0.23
Pa: 0.500 0.500 0.000  0.23
Mn: 0.500 0.000 0.500  3.58
Mn: 0.000 0.500 0.500  3.58
S: 0.843 0.719 0.223  -0.02
S: 0.657 0.219 0.777  -0.02
S: 0.281 0.268 0.288  -0.02
S: 0.219 0.768 0.712  -0.02
S: 0.157 0.281 0.777  -0.02
S: 0.343 0.781 0.223  -0.02
S: 0.719 0.732 0.712  -0.02
S: 0.781 0.232 0.288  -0.02

First-principles (PBE-GGA) data for GdMgCl2 after structural relaxation, as listed in Alexandria.

Formation energy without anion corrections ... -1.065 eV per atom
Density ... 3.70 g cm⁻³
Total moment ... 8.1 μB/cell

Cell: 3.615 3.615 10.226 Å, 79.82 79.82 60.00°
Last column: magnetic moment on the atom in μB.
Sites, in units of the cell vectors:
Mg: 0.500 0.500 0.500  0.01
Gd: 0.000 0.000 0.000  7.34
Cl: 0.120 0.120 0.640  0.01
Cl: 0.880 0.880 0.360  0.01

First-principles (PBE-GGA) data for Np2GaIr after structural relaxation, as listed in Alexandria.

Calculated formation energy ... -0.104 eV per atom
Density ... 18.18 g cm⁻³
Total moment ... 0.0 μB/cell

Cell: 4.877 3.712 3.712 Å, 90.00 90.00 90.00°
Sites, in units of the cell vectors:
Np: 0.000 0.000 0.500
Np: 0.000 0.500 0.000
Ir: 0.500 0.500 0.500
Ga: 0.500 0.000 0.000

Q: What is the total moment in the first record?
A: 0.0 μB/cell